DFT (PBEsol) results for crystalline BaSc3Ta at its relaxed geometry.

It has space group Pm-3m (No. 221), with a = 5.2943 Å, b = 5.2943 Å, c = 5.2943 Å, α = 90.00°, β = 90.00° and γ = 90.00°. The inequivalent atoms are Ba at (0.0000, 0.0000, 0.0000), Sc at (0.0000, 0.5000, 0.5000) and Ta at (0.5000, 0.5000, 0.5000).

The energy relative to the elements comes out at 0.53 eV/atom.

DFT (PBEsol) results for crystalline BaSc2Tc at its relaxed geometry.

It has space group I-4m2 (No. 119), with a = 4.9041 Å, b = 4.9041 Å, c = 7.4959 Å, α = 90.00°, β = 90.00° and γ = 90.00°. The inequivalent atoms are Ba at (0.0000, 0.0000, 0.0000), Sc at (0.0000, 0.0000, 0.5000), Sc at (0.0000, 0.5000, 0.2500) and Tc at (0.0000, 0.5000, 0.7500).

The energy relative to the elements comes out at 0.63 eV/atom. The relative energy among the computed polymorphs comes out at 582 meV/atom.

DFT (PBEsol) results for crystalline BaSc2Tc at its relaxed geometry.

It has space group Cmmm (No. 65), with a = 4.6663 Å, b = 4.6754 Å, c = 9.2689 Å, α = 90.00°, β = 90.00° and γ = 90.00°. The inequivalent atoms are Ba at (0.0000, 0.0000, 0.0000), Sc at (0.0000, 0.5000, 0.3407) and Tc at (0.0000, 0.0000, 0.5000).

The energy relative to the elements comes out at 0.05 eV/atom. The relative energy among the computed polymorphs comes out at 0 meV/atom.

DFT (PBEsol) results for crystalline BaSc2Tc at its relaxed geometry.

It has space group Pmmm (No. 47), with a = 4.3961 Å, b = 4.4093 Å, c = 4.6729 Å, α = 90.00°, β = 90.00° and γ = 90.00°. The inequivalent atoms are Ba at (0.0000, 0.0000, 0.0000), Sc at (0.0000, 0.5000, 0.5000), Sc at (0.5000, 0.0000, 0.5000) and Tc at (0.5000, 0.5000, 0.0000).

The energy relative to the elements comes out at 0.69 eV/atom. The relative energy among the computed polymorphs comes out at 638 meV/atom.

DFT (PBEsol) results for crystalline Ba2ScTe at its relaxed geometry.

It has space group Imm2 (No. 44), with a = 4.0863 Å, b = 5.8387 Å, c = 12.2750 Å, α = 90.00°, β = 90.00° and γ = 90.00°. The inequivalent atoms are Ba at (0.0000, 0.0000, 0.0000), Ba at (0.0000, 0.5000, 0.1963), Sc at (0.0000, 0.5000, 0.7824) and Te at (0.0000, 0.0000, 0.4528).

The formation energy (no corrections) comes out at -519 meV per atom.

DFT (PBEsol) results for crystalline Ba2ScTe at its relaxed geometry.

It has space group F-43m (No. 216), with a = 8.0764 Å, b = 8.0764 Å, c = 8.0764 Å, α = 90.00°, β = 90.00° and γ = 90.00°. The inequivalent atoms are Ba at (0.0000, 0.0000, 0.0000), Ba at (0.2500, 0.2500, 0.2500), Sc at (0.0000, 0.0000, 0.5000) and Te at (0.2500, 0.2500, 0.7500).

The formation energy (no corrections) comes out at -151 meV per atom.

Number 1: density 5.071 g/cm³, final energy -0.4688 Ry/atom. Number 2: density 5.992 g/cm³, final energy -0.4429 Ry/atom. Number 3: density 5.341 g/cm³, final energy -0.4856 Ry/atom. Number 4: density 5.963 g/cm³, final energy -0.4387 Ry/atom. Number 5: density 5.071 g/cm³, final energy -0.3033 Ry/atom. Number 6: density 5.638 g/cm³, final energy -0.2763 Ry/atom.